The following is a PBE-GGA calculation of a geometry-optimized MgBi3Rh structure, from Alexandria.

abc: 3.385 7.457 10.778
angles: 90.00 90.00 103.15
Fractional coordinates of all 10 atoms:
Mg: 0.472 0.946 0.250
Mg: 0.528 0.054 0.750
Bi: 0.387 0.774 0.533
Bi: 0.613 0.226 0.467
Bi: 0.387 0.774 0.967
Bi: 0.613 0.226 0.033
Bi: 0.782 0.566 0.250
Bi: 0.218 0.434 0.750
Rh: 0.121 0.243 0.250
Rh: 0.879 0.757 0.750

Computed properties:
symmetry: P2_1/m, No. 11
magnetization: 0.0 Bohr magnetons per cell
crystal system: monoclinic
DFT formation energy: -11 kJ/mol of atoms
energy above the most stable polymorph in this dataset: 0 meV per atom

The following is a PBE-GGA calculation of a geometry-optimized Ba2ZrCo structure, from Alexandria.

abc: 3.650 3.819 9.862
angles: 79.23 90.00 90.00
Fractional coordinates of all 4 atoms:
Ba: 0.000 0.109 0.925
Ba: 0.500 0.389 0.327
Co: 0.000 0.258 0.610
Zr: 0.500 0.743 0.639

Computed properties:
symmetry: Pm, No. 6
magnetization: 0.0 Bohr magnetons per cell
crystal system: monoclinic
DFT formation energy: 24 kJ/mol of atoms
energy above the most stable polymorph in this dataset: 0 meV per atom

The following is a PBE-GGA calculation of a geometry-optimized UTlSe2 structure, from Alexandria.

abc: 3.587 3.587 7.963
angles: 90.00 90.00 90.00
Fractional coordinates of all 4 atoms:
Tl: 0.500 0.500 0.500
U: 0.500 0.500 0.000
Se: 0.000 0.000 0.795
Se: 0.000 0.000 0.205

Computed properties:
symmetry: P4/mmm, No. 123
formation energy from raw total energies: -0.81 eV/atom
magnetization: 2.8 Bohr magnetons per cell
crystal system: tetragonal

The following is a PBE-GGA calculation of a geometry-optimized Sr2LiPa structure, from Alexandria.

abc: 3.612 3.612 12.380
angles: 81.61 81.61 60.00
Fractional coordinates of all 4 atoms:
Sr: 0.251 0.251 0.248
Sr: 0.749 0.749 0.752
Pa: 0.000 0.000 0.000
Li: 0.500 0.500 0.500

Computed properties:
symmetry: R-3m, No. 166
magnetization: 0.4 Bohr magnetons per cell
crystal system: trigonal
DFT formation energy: 47 kJ/mol of atoms

The following is a PBE-GGA calculation of a geometry-optimized LaHo4Bi5 structure, from Alexandria.

abc: 4.517 7.808 10.090
angles: 75.05 77.07 73.19
Fractional coordinates of all 10 atoms:
La: 0.000 0.000 0.000
Ho: 0.597 0.204 0.602
Ho: 0.202 0.392 0.204
Ho: 0.798 0.608 0.796
Ho: 0.403 0.796 0.398
Bi: 0.203 0.903 0.691
Bi: 0.797 0.097 0.309
Bi: 0.394 0.316 0.896
Bi: 0.000 0.500 0.500
Bi: 0.606 0.684 0.104

Computed properties:
symmetry: C2/m, No. 12
magnetization: 0.0 Bohr magnetons per cell
crystal system: monoclinic
DFT formation energy: -84 kJ/mol of atoms

The following is a PBE-GGA calculation of a geometry-optimized PmOsPb2O6 structure, from Alexandria.

abc: 6.063 6.063 10.674
angles: 73.50 73.50 60.00
Fractional coordinates of all 20 atoms:
Pm: 0.596 0.596 0.211
Pm: 0.404 0.404 0.789
Os: 0.000 0.000 0.000
Os: 0.500 0.500 0.500
Pb: 0.855 0.855 0.435
Pb: 0.145 0.145 0.565
Pb: 0.739 0.739 0.782
Pb: 0.261 0.261 0.218
O: 0.867 0.370 0.392
O: 0.370 0.867 0.392
O: 0.370 0.370 0.392
O: 0.133 0.630 0.608
O: 0.630 0.133 0.608
O: 0.630 0.630 0.608
O: 0.743 0.184 0.889
O: 0.184 0.743 0.889
O: 0.184 0.184 0.889
O: 0.257 0.816 0.111
O: 0.816 0.257 0.111
O: 0.816 0.816 0.111

Computed properties:
symmetry: R-3m, No. 166
formation energy from raw total energies: -1.50 eV/atom
magnetization: 3.3 Bohr magnetons per cell
crystal system: trigonal

Values of volume, in order: 132.4 135.0 102.5 137.8 324.8 160.5, all in Å³/f.u..